# TbMgF4 | the Alexandria database | PBE | relaxed
# N(E_F) ... 1.11 states/eV/f.u.
# Formation energy (no corrections) ... -3376 meV/atom
# Space-group type ... No. 10
# Magnetization ... 0.00 Bohr magnetons per cell
data_TbMgF4
_chemical_formula_sum 'Tb1 Mg1 F4'
_space_group_name_H-M_alt 'P 1'
_space_group_IT_number 1
_cell_length_a 3.565
_cell_length_b 3.653
_cell_length_c 6.642
_cell_angle_alpha 120.97
_cell_angle_beta 90.00
_cell_angle_gamma 90.00
loop_
_space_group_symop_operation_xyz
'x,y,z'
loop_
_atom_site_label
_atom_site_type_symbol
_atom_site_fract_x
_atom_site_fract_y
_atom_site_fract_z
F1 F 0.000 0.237 0.716
Tb1 Tb 0.500 0.500 0.000
F2 F 0.500 0.739 0.719
F3 F 0.500 0.261 0.281
F4 F 0.000 0.763 0.284
Mg1 Mg 0.000 0.500 0.500

=====

# Hf2Tc2Te | the Alexandria database | PBE | relaxed
# Energy above the most stable polymorph in this dataset ... 141 kJ/mol of formula units
# N(E_F) ... 8.27 states/eV/f.u.
# Formation energy (no corrections) ... 255 meV/atom
# Space-group type ... No. 127
# Magnetization ... 0.00 Bohr magnetons per cell
data_Hf2Tc2Te
_chemical_formula_sum 'Hf4 Tc4 Te2'
_space_group_name_H-M_alt 'P 1'
_space_group_IT_number 1
_cell_length_a 7.876
_cell_length_b 7.876
_cell_length_c 3.219
_cell_angle_alpha 90.00
_cell_angle_beta 90.00
_cell_angle_gamma 90.00
loop_
_space_group_symop_operation_xyz
'x,y,z'
loop_
_atom_site_label
_atom_site_type_symbol
_atom_site_fract_x
_atom_site_fract_y
_atom_site_fract_z
Te1 Te 0.500 0.500 0.000
Hf1 Hf 0.857 0.643 0.000
Tc1 Tc 0.857 0.357 0.500
Tc2 Tc 0.143 0.643 0.500
Tc3 Tc 0.643 0.857 0.500
Tc4 Tc 0.357 0.143 0.500
Hf2 Hf 0.143 0.357 0.000
Hf3 Hf 0.643 0.143 0.000
Hf4 Hf 0.357 0.857 0.000
Te2 Te 0.000 0.000 0.000

=====

# K2MgHgTe | the Alexandria database | PBE | relaxed
# Energy above the most stable polymorph in this dataset ... 0 kJ/mol of formula units
# N(E_F) ... 0.95 states/eV/f.u.
# Formation energy (no corrections) ... -202 meV/atom
# Space-group type ... No. 123
# Magnetization ... 0.00 Bohr magnetons per cell
data_K2MgHgTe
_chemical_formula_sum 'K2 Mg1 Hg1 Te1'
_space_group_name_H-M_alt 'P 1'
_space_group_IT_number 1
_cell_length_a 6.189
_cell_length_b 5.385
_cell_length_c 6.189
_cell_angle_alpha 90.00
_cell_angle_beta 90.00
_cell_angle_gamma 90.00
loop_
_space_group_symop_operation_xyz
'x,y,z'
loop_
_atom_site_label
_atom_site_type_symbol
_atom_site_fract_x
_atom_site_fract_y
_atom_site_fract_z
K1 K 0.000 0.000 0.500
Hg1 Hg 0.000 0.000 0.000
K2 K 0.500 0.000 0.000
Te1 Te 0.500 0.500 0.500
Mg1 Mg 0.000 0.500 0.000

=====

# MnReW2 | the Alexandria database | PBE | relaxed
# Energy above the most stable polymorph in this dataset ... 2 kJ/mol of formula units
# N(E_F) ... 3.12 states/eV/f.u.
# Space-group type ... No. 10
# Formation energy ... 8.5 kJ/mol of atoms
# Magnetization ... 2.21 Bohr magnetons per cell
data_MnReW2
_chemical_formula_sum 'Mn1 Re1 W2'
_space_group_name_H-M_alt 'P 1'
_space_group_IT_number 1
_cell_length_a 4.376
_cell_length_b 2.688
_cell_length_c 5.176
_cell_angle_alpha 80.08
_cell_angle_beta 90.00
_cell_angle_gamma 90.00
loop_
_space_group_symop_operation_xyz
'x,y,z'
loop_
_atom_site_label
_atom_site_type_symbol
_atom_site_fract_x
_atom_site_fract_y
_atom_site_fract_z
Mn1 Mn 0.500 0.250 0.250
W1 W 0.000 0.504 0.496
Re1 Re 0.500 0.750 0.750
W2 W 0.000 0.996 0.004

=====

# HoTm2Mn | the Alexandria database | PBE | relaxed
# Energy above the most stable polymorph in this dataset ... 0 kJ/mol of formula units
# N(E_F) ... 5.87 states/eV/f.u.
# Space-group type ... No. 123
# Formation energy ... 10.3 kJ/mol of atoms
# Magnetization ... 3.50 Bohr magnetons per cell
data_HoTm2Mn
_chemical_formula_sum 'Ho1 Tm2 Mn1'
_space_group_name_H-M_alt 'P 1'
_space_group_IT_number 1
_cell_length_a 3.483
_cell_length_b 3.483
_cell_length_c 8.530
_cell_angle_alpha 90.00
_cell_angle_beta 90.00
_cell_angle_gamma 90.00
loop_
_space_group_symop_operation_xyz
'x,y,z'
loop_
_atom_site_label
_atom_site_type_symbol
_atom_site_fract_x
_atom_site_fract_y
_atom_site_fract_z
Tm1 Tm 0.000 0.000 0.200
Mn1 Mn 0.500 0.500 0.000
Ho1 Ho 0.500 0.500 0.500
Tm2 Tm 0.000 0.000 0.800

=====

# HfBeIn3 | the Alexandria database | PBE | relaxed
# Energy above the most stable polymorph in this dataset ... 0 kJ/mol of formula units
# N(E_F) ... 3.13 states/eV/f.u.
# Space-group type ... No. 221
# Formation energy ... 55.4 kJ/mol of atoms
# Magnetization ... 0.00 Bohr magnetons per cell
data_HfBeIn3
_chemical_formula_sum 'Hf1 Be1 In3'
_space_group_name_H-M_alt 'P 1'
_space_group_IT_number 1
_cell_length_a 4.823
_cell_length_b 4.823
_cell_length_c 4.823
_cell_angle_alpha 90.00
_cell_angle_beta 90.00
_cell_angle_gamma 90.00
loop_
_space_group_symop_operation_xyz
'x,y,z'
loop_
_atom_site_label
_atom_site_type_symbol
_atom_site_fract_x
_atom_site_fract_y
_atom_site_fract_z
In1 In 0.000 0.000 0.500
In2 In 0.000 0.500 0.000
In3 In 0.500 0.000 0.000
Be1 Be 0.000 0.000 0.000
Hf1 Hf 0.500 0.500 0.500

=====

# PrCrH5 | the Alexandria database | PBE | relaxed
# N(E_F) ... 1.86 states/eV/f.u.
# E_tot ... -4.662 eV/atom
# Space-group type ... No. 71
# Magnetization ... 5.99 Bohr magnetons per cell
data_PrCrH5
_chemical_formula_sum 'Pr2 Cr2 H10'
_space_group_name_H-M_alt 'P 1'
_space_group_IT_number 1
_cell_length_a 4.640
_cell_length_b 4.640
_cell_length_c 7.667
_cell_angle_alpha 65.68
_cell_angle_beta 65.68
_cell_angle_gamma 65.29
loop_
_space_group_symop_operation_xyz
'x,y,z'
loop_
_atom_site_label
_atom_site_type_symbol
_atom_site_fract_x
_atom_site_fract_y
_atom_site_fract_z
H1 H 0.098 0.575 0.082
H2 H 0.000 0.000 0.250
H3 H 0.575 0.098 0.582
H4 H 0.096 0.575 0.582
Pr1 Pr 0.500 0.500 0.750
Cr1 Cr 0.000 0.000 0.000
H5 H 0.000 0.000 0.750
Cr2 Cr 0.000 0.000 0.500
H6 H 0.902 0.425 0.918
Pr2 Pr 0.500 0.500 0.250
H7 H 0.425 0.902 0.418
H8 H 0.425 0.904 0.918
H9 H 0.575 0.096 0.082
H10 H 0.904 0.425 0.418

=====

# LaMgTc2 | the Alexandria database | PBE | relaxed
# N(E_F) ... 3.45 states/eV/f.u.
# Space-group type ... No. 99
# Formation energy ... 5.2 kJ/mol of atoms
# Magnetization ... 0.00 Bohr magnetons per cell
data_LaMgTc2
_chemical_formula_sum 'La1 Mg1 Tc2'
_space_group_name_H-M_alt 'P 1'
_space_group_IT_number 1
_cell_length_a 3.143
_cell_length_b 3.143
_cell_length_c 8.197
_cell_angle_alpha 90.00
_cell_angle_beta 90.00
_cell_angle_gamma 90.00
loop_
_space_group_symop_operation_xyz
'x,y,z'
loop_
_atom_site_label
_atom_site_type_symbol
_atom_site_fract_x
_atom_site_fract_y
_atom_site_fract_z
La1 La 0.000 0.000 0.469
Tc1 Tc 0.500 0.500 0.190
Mg1 Mg 0.500 0.500 0.810
Tc2 Tc 0.000 0.000 0.030

=====

# PmTl3Hg3 | the Alexandria database | PBE | relaxed
# N(E_F) ... 4.85 states/eV/f.u.
# Space-group type ... No. 223
# Formation energy ... 41.2 kJ/mol of atoms
# Magnetization ... 0.00 Bohr magnetons per cell
data_PmTl3Hg3
_chemical_formula_sum 'Pm2 Tl6 Hg6'
_space_group_name_H-M_alt 'P 1'
_space_group_IT_number 1
_cell_length_a 8.082
_cell_length_b 8.082
_cell_length_c 8.082
_cell_angle_alpha 90.00
_cell_angle_beta 90.00
_cell_angle_gamma 90.00
loop_
_space_group_symop_operation_xyz
'x,y,z'
loop_
_atom_site_label
_atom_site_type_symbol
_atom_site_fract_x
_atom_site_fract_y
_atom_site_fract_z
Tl1 Tl 0.000 0.500 0.250
Hg1 Hg 0.750 0.500 0.000
Hg2 Hg 0.500 0.000 0.250
Tl2 Tl 0.250 0.000 0.500
Tl3 Tl 0.500 0.750 0.000
Hg3 Hg 0.250 0.500 0.000
Tl4 Tl 0.500 0.250 0.000
Pm1 Pm 0.500 0.500 0.500
Tl5 Tl 0.000 0.500 0.750
Hg4 Hg 0.000 0.250 0.500
Hg5 Hg 0.500 0.000 0.750
Tl6 Tl 0.750 0.000 0.500
Hg6 Hg 0.000 0.750 0.500
Pm2 Pm 0.000 0.000 0.000

=====

# Cs2BeWCl6 | the Alexandria database | PBE | relaxed
# N(E_F) ... 0.15 states/eV/f.u.
# Formation energy (no corrections) ... -995 meV/atom
# Space-group type ... No. 139
# Magnetization ... 4.00 Bohr magnetons per cell
data_Cs2BeWCl6
_chemical_formula_sum 'Cs2 Be1 W1 Cl6'
_space_group_name_H-M_alt 'P 1'
_space_group_IT_number 1
_cell_length_a 6.943
_cell_length_b 6.943
_cell_length_c 7.504
_cell_angle_alpha 62.44
_cell_angle_beta 62.44
_cell_angle_gamma 90.00
loop_
_space_group_symop_operation_xyz
'x,y,z'
loop_
_atom_site_label
_atom_site_type_symbol
_atom_site_fract_x
_atom_site_fract_y
_atom_site_fract_z
W1 W 0.000 0.000 0.000
Cl1 Cl 0.272 0.728 0.000
Cl2 Cl 0.272 0.272 0.000
Cl3 Cl 0.216 0.216 0.569
Cl4 Cl 0.728 0.728 0.000
Cl5 Cl 0.728 0.272 0.000
Cs1 Cs 0.750 0.250 0.500
Cs2 Cs 0.250 0.750 0.500
Cl6 Cl 0.784 0.784 0.431
Be1 Be 0.500 0.500 0.000

=====

# Zr3Zn2Ag4 | the Alexandria database | PBE | relaxed
# N(E_F) ... 4.21 states/eV/f.u.
# Space-group type ... No. 66
# Formation energy ... -14.3 kJ/mol of atoms
# Magnetization ... 0.00 Bohr magnetons per cell
data_Zr3Zn2Ag4
_chemical_formula_sum 'Zr6 Zn4 Ag8'
_space_group_name_H-M_alt 'P 1'
_space_group_IT_number 1
_cell_length_a 8.212
_cell_length_b 8.212
_cell_length_c 5.669
_cell_angle_alpha 90.00
_cell_angle_beta 90.00
_cell_angle_gamma 120.14
loop_
_space_group_symop_operation_xyz
'x,y,z'
loop_
_atom_site_label
_atom_site_type_symbol
_atom_site_fract_x
_atom_site_fract_y
_atom_site_fract_z
Zr1 Zr 0.165 0.835 0.750
Zn1 Zn 0.500 0.840 0.000
Ag1 Ag 0.833 0.825 0.500
Zr2 Zr 0.165 0.835 0.250
Zn2 Zn 0.500 0.160 0.000
Zr3 Zr 0.835 0.165 0.750
Zr4 Zr 0.500 0.500 0.750
Zr5 Zr 0.500 0.500 0.250
Zn3 Zn 0.160 0.500 0.500
Ag2 Ag 0.167 0.175 0.500
Ag3 Ag 0.825 0.833 0.000
Ag4 Ag 0.826 0.492 0.000
Ag5 Ag 0.175 0.167 0.000
Zr6 Zr 0.835 0.165 0.250
Ag6 Ag 0.174 0.508 0.000
Ag7 Ag 0.508 0.174 0.500
Zn4 Zn 0.840 0.500 0.500
Ag8 Ag 0.492 0.826 0.500

=====

# Hf2CuPbC | the Alexandria database | PBE | relaxed
# N(E_F) ... 4.20 states/eV/f.u.
# Space-group type ... No. 123
# Formation energy ... 215.8 kJ/mol of atoms
# Magnetization ... 0.00 Bohr magnetons per cell
data_Hf2CuPbC
_chemical_formula_sum 'Hf2 Cu1 Pb1 C1'
_space_group_name_H-M_alt 'P 1'
_space_group_IT_number 1
_cell_length_a 5.455
_cell_length_b 4.184
_cell_length_c 5.455
_cell_angle_alpha 90.00
_cell_angle_beta 90.00
_cell_angle_gamma 90.00
loop_
_space_group_symop_operation_xyz
'x,y,z'
loop_
_atom_site_label
_atom_site_type_symbol
_atom_site_fract_x
_atom_site_fract_y
_atom_site_fract_z
Hf1 Hf 0.500 0.000 0.000
Hf2 Hf 0.000 0.000 0.500
Cu1 Cu 0.500 0.500 0.500
C1 C 0.000 0.500 0.000
Pb1 Pb 0.000 0.000 0.000